This record from Alexandria via LeMat-Bulk describes a relaxed Cd2CuHg crystal. The functional is GGA-PBEsol.

It has space group P4/mmm (No. 123), with a = 3.053 Å, b = 3.053 Å, c = 7.926 Å, α = 90.00°, β = 90.00° and γ = 90.00°. The inequivalent atoms are Cd at (0.000, 0.000, 0.211), Cu at (0.500, 0.500, 0.000) and Hg at (0.500, 0.500, 0.500).

For the energy of formation, the calculation gives 53 meV/atom.


This record from Alexandria via LeMat-Bulk describes a relaxed K2BHI crystal. The functional is GGA-PBEsol.

It has space group P4/mmm (No. 123), with a = 5.857 Å, b = 5.857 Å, c = 3.566 Å, α = 90.00°, β = 90.00° and γ = 90.00°. The inequivalent atoms are K at (0.000, 0.500, 0.000), B at (0.000, 0.000, 0.500), H at (0.000, 0.000, 0.000) and I at (0.500, 0.500, 0.500).

The value obtained for the energy is -12.98 eV per formula unit.


This record from Alexandria via LeMat-Bulk describes a relaxed TiSnOs3 crystal. The functional is GGA-PBEsol.

It has space group Pm-3m (No. 221), with a = 4.521 Å, b = 4.521 Å, c = 4.521 Å, α = 90.00°, β = 90.00° and γ = 90.00°. The inequivalent atoms are Ti at (0.000, 0.000, 0.000), Sn at (0.500, 0.500, 0.500) and Os at (0.000, 0.000, 0.500).

For the energy of formation, the calculation gives 1697 meV/atom.


This record from Alexandria via LeMat-Bulk describes a relaxed ZnIrAu crystal. The functional is GGA-PBEsol.

It has space group P3m1 (No. 156), with a = 4.3263 Å, b = 4.3263 Å, c = 2.7633 Å, α = 90.00°, β = 90.00° and γ = 120.00°. The inequivalent atoms are Zn at (0.0000, 0.0000, 0.0000), Ir at (0.6667, 0.3333, 0.7294) and Au at (0.3333, 0.6667, 0.2615).

For the energy of formation, the calculation gives 168 meV/atom. The energy relative to the lowest polymorph listed for this composition comes out at 0.120 eV per atom.


Number 1: total magnetic moment 0.00 μB/cell, Fermi-level density of states 0.33 states/eV per atom. Number 2: total magnetic moment 1.62 μB/cell, Fermi-level density of states 0.42 states/eV per atom. Number 3: total magnetic moment 0.00 μB/cell, Fermi-level density of states 0.98 states/eV per atom. Number 4: total magnetic moment 0.00 μB/cell, Fermi-level density of states 1.09 states/eV per atom.